1.
The following is a DFT calculation (PBE) of crystalline Zr2TeAs at its relaxed geometry.

extended XYZ file:
```
4
Lattice="-1.9864 1.9864 5.7201 1.9864 -1.9864 5.7201 1.9864 1.9864 -5.7201" Properties=species:S:1:pos:R:3 pbc="T T T"
Zr 0.0000 0.0000 0.0000
Zr 0.0000 1.9864 2.8601
Te 0.0000 0.0000 5.7201
As 1.9864 0.0000 2.8601
```

Calculated values
As for the formation energy from raw total energies: -443 meV per atom. Its crystal system is tetragonal. Its symmetry is I-4m2, No. 119.

=====

2.
The following is a DFT calculation (PBE) of crystalline Nd4Tl2TeSe at its relaxed geometry.

extended XYZ file:
```
8
Lattice="7.3828 0.0000 0.0000 0.0000 4.2700 0.0000 -2.4706 0.0000 7.9468" Properties=species:S:1:pos:R:3 pbc="T T T"
Nd 1.1588 0.0000 1.8303
Nd -0.0756 2.1350 6.0577
Nd 4.9877 2.1350 1.8890
Nd 3.7534 0.0000 6.1165
Tl -1.2353 0.0000 3.9734
Tl 2.4561 2.1350 3.9734
Te 3.6914 0.0000 0.0000
Se 0.0000 2.1350 0.0000
```

Calculated values
As for the formation energy from raw total energies: -974 meV per atom. Its crystal system is monoclinic. Its symmetry is P2/m, No. 10.

=====

3.
The following is a DFT calculation (PBE) of crystalline LaSe2Br at its relaxed geometry.

extended XYZ file:
```
4
Lattice="4.1827 0.0000 0.0000 0.0000 4.1827 0.0000 0.0000 0.0000 6.3830" Properties=species:S:1:pos:R:3 pbc="T T T"
La 0.0000 0.0000 0.0000
Se 2.0914 2.0914 1.2074
Se 2.0914 2.0914 5.1757
Br 0.0000 0.0000 3.1915
```

Calculated values
As for the formation energy from raw total energies: -1363 meV per atom. Its crystal system is tetragonal. Its symmetry is P4/mmm, No. 123.

=====

4.
The following is a DFT calculation (PBE) of crystalline SiPt2W at its relaxed geometry.

extended XYZ file:
```
4
Lattice="2.8192 0.0000 0.0000 0.0000 2.8192 0.0000 0.0000 0.0000 7.5489" Properties=species:S:1:pos:R:3 pbc="T T T"
Si 0.0000 0.0000 0.0000
Pt 1.4096 1.4096 1.7615
Pt 1.4096 1.4096 5.7874
W 0.0000 0.0000 3.7744
```

Calculated values
As for the formation energy from raw total energies: -168 meV per atom. Its crystal system is tetragonal. Its symmetry is P4/mmm, No. 123.

=====

5.
The following is a DFT calculation (PBE) of crystalline Pr4DySc at its relaxed geometry.

extended XYZ file:
```
6
Lattice="3.1268 -5.3959 0.0000 3.1268 5.3959 0.0000 -2.0304 0.0000 5.9096" Properties=species:S:1:pos:R:3 pbc="T T T"
Pr 3.1268 3.6446 0.0000
Pr 2.1117 1.7927 2.9548
Pr 2.1117 -1.7927 2.9548
Pr 3.1268 -3.6446 0.0000
Dy 3.1268 0.0000 0.0000
Sc -1.0152 0.0000 2.9548
```

Calculated values
Its formation energy is 0.85 kcal/mol of atoms. Its crystal system is monoclinic. Its symmetry is C2/m, No. 12.

=====

6.
The following is a DFT calculation (PBE) of crystalline ErScInGa at its relaxed geometry.

extended XYZ file:
```
4
Lattice="3.3636 0.0000 0.0000 0.0000 3.3636 0.0000 0.0000 0.0000 7.8989" Properties=species:S:1:pos:R:3 pbc="T T T"
Er 0.0000 0.0000 0.0000
Sc 0.0000 0.0000 3.6560
In 1.6818 1.6818 5.6719
Ga 1.6818 1.6818 1.9182
```

Calculated values
Its formation energy is -11.46 kcal/mol of atoms. Its crystal system is tetragonal. Its symmetry is P4mm, No. 99.

=====

7.
The following is a DFT calculation (PBE) of crystalline ZrTi2H4 at its relaxed geometry.

extended XYZ file:
```
14
Lattice="0.0000 4.0615 4.0615 4.0615 0.0000 4.0615 4.0615 4.0615 0.0000" Properties=species:S:1:pos:R:3 pbc="T T T"
Zr 1.0154 1.0154 1.0154
Zr 7.1076 7.1076 7.1076
Ti 4.0615 2.0307 2.0307
Ti 2.0307 4.0615 2.0307
Ti 2.0307 2.0307 4.0615
Ti 4.0615 4.0615 4.0615
H 2.1868 2.1868 2.1868
H 3.9054 3.9054 2.1868
H 3.9054 2.1868 3.9054
H 5.9362 4.2175 4.2175
H 2.1868 3.9054 3.9054
H 4.2175 5.9362 4.2175
H 4.2175 4.2175 5.9362
H 5.9362 5.9362 5.9362
```

Calculated values
Its crystal system is cubic. Its symmetry is Fd-3m, No. 227.

=====

8.
The following is a DFT calculation (PBE) of crystalline Nd3YHo5 at its relaxed geometry.

extended XYZ file:
```
18
Lattice="7.6836 -5.6617 0.0000 7.6836 5.6617 0.0000 -6.5168 0.0000 7.6294" Properties=species:S:1:pos:R:3 pbc="T T T"
Nd 0.0000 0.0000 0.0000
Nd -1.8726 0.0000 2.3535
Nd 6.4341 0.0000 1.0438
Nd 4.4251 0.0000 3.8147
Nd 2.4162 0.0000 6.5856
Nd 10.7229 0.0000 5.2759
Y 3.2292 0.0000 0.7675
Y 5.6211 0.0000 6.8619
Ho 0.3742 2.8327 5.7006
Ho -1.3835 0.0000 5.5237
Ho 4.4251 2.9205 3.8147
Ho 1.2472 0.0000 3.5433
Ho 8.4761 2.8327 1.9288
Ho 0.3742 -2.8327 5.7006
Ho 7.6031 0.0000 4.0861
Ho 4.4251 -2.9205 3.8147
Ho 10.2337 0.0000 2.1058
Ho 8.4761 -2.8327 1.9288
```

Calculated values
Its formation energy is 12.12 kcal/mol of atoms. Its crystal system is monoclinic. Its symmetry is C2/m, No. 12.

=====

Computed uncorrected energy, in the same sequence as the records: -6.664, -4.778, -4.755, -7.782, -4.972, -4.662, -5.885, -4.325 eV/atom.